An optimized crystal structure of MnCoTe4, computed with PBE.

Values from the calculation:
**ΔE_f (raw)**: 1.0801 eV/atom
**Symmetry**: F-43m

Lattice parameters (Å, degrees): 6.2797 6.2797 6.2797 60.00 60.00 60.00
Atoms (fractional coordinates):
Mn  0.0000  0.0000  0.0000
Co  0.2500  0.2500  0.2500
Te  0.1264  0.6245  0.6245
Te  0.6245  0.1264  0.6245
Te  0.6245  0.6245  0.1264
Te  0.6245  0.6245  0.6245

=====

An optimized crystal structure of Ac2NdMg3, computed with PBE.

Values from the calculation:
**Formation energy from the elements**: -86 meV/atom
**Symmetry**: P4/mmm

Lattice parameters (Å, degrees): 4.0402 4.0402 12.1321 90.00 90.00 90.00
Atoms (fractional coordinates):
Ac  0.0000  0.0000  0.1743
Ac  0.0000  0.0000  0.8257
Nd  0.0000  0.0000  0.5000
Mg  0.5000  0.5000  0.0000
Mg  0.5000  0.5000  0.3517
Mg  0.5000  0.5000  0.6483

=====

An optimized crystal structure of LiNd2PbN, computed with PBE.

Values from the calculation:
**ΔE_f (raw)**: -0.8040 eV/atom
**Symmetry**: P4/mmm

Lattice parameters (Å, degrees): 5.0404 5.0404 4.4456 90.00 90.00 90.00
Atoms (fractional coordinates):
Li  0.0000  0.0000  0.0000
Nd  0.0000  0.5000  0.5000
Nd  0.5000  0.0000  0.5000
Pb  0.5000  0.5000  0.0000
N  0.0000  0.0000  0.5000

=====

An optimized crystal structure of SrCeIn4, computed with PBE.

Values from the calculation:
**E above lowest polymorph**: 0 meV/atom
**Formation energy from the elements**: -366 meV/atom
**Symmetry**: P2/m

Lattice parameters (Å, degrees): 3.7745 5.0811 8.8898 90.00 90.02 90.00
Atoms (fractional coordinates):
Sr  0.0000  0.0000  0.0000
Ce  0.0000  0.5000  0.5000
In  0.4829  0.0000  0.3379
In  0.4908  0.5000  0.8287
In  0.5092  0.5000  0.1713
In  0.5171  0.0000  0.6621

=====

An optimized crystal structure of CaTlAu3, computed with PBE.

Values from the calculation:
**E above lowest polymorph**: 0 meV/atom
**Formation energy from the elements**: -426 meV/atom
**Symmetry**: Cmcm

Lattice parameters (Å, degrees): 13.9397 13.9397 4.6777 90.00 90.00 164.83
Atoms (fractional coordinates):
Ca  0.0754  0.9246  0.7500
Ca  0.9246  0.0754  0.2500
Tl  0.2117  0.7883  0.2500
Tl  0.7883  0.2117  0.7500
Au  0.3210  0.6790  0.2500
Au  0.3771  0.6229  0.7500
Au  0.4748  0.5252  0.7500
Au  0.5252  0.4748  0.2500
Au  0.6229  0.3771  0.2500
Au  0.6790  0.3210  0.7500

=====

An optimized crystal structure of Ce3ErHf2P6, computed with PBE.

Values from the calculation:
**Formation energy from the elements**: -1465 meV/atom
**Symmetry**: C2/m

Lattice parameters (Å, degrees): 6.7877 6.7877 6.8029 99.58 99.58 120.01
Atoms (fractional coordinates):
Ce  0.0000  0.0000  0.0000
Ce  0.3363  0.6637  0.0000
Ce  0.6637  0.3363  0.0000
Er  0.5000  0.5000  0.5000
Hf  0.1675  0.8325  0.5000
Hf  0.8325  0.1675  0.5000
P  0.0800  0.4223  0.2677
P  0.2336  0.2336  0.7289
P  0.4223  0.0800  0.2677
P  0.5777  0.9200  0.7323
P  0.7664  0.7664  0.2711
P  0.9200  0.5777  0.7323

=====

no.,magnetization (Bohr magnetons per cell),total energy (eV per atom)
1,2.72,-3.73
2,0.00,-3.05
3,0.00,-5.50
4,1.13,-3.46
5,0.00,-3.27
6,0.05,-7.69